one.
Compound: Cd2FeBr
Source: Alexandria via LeMat-Bulk
Functional: PBEsol
Structure: relaxed

a = 4.1162 Å, b = 4.1162 Å, c = 9.4427 Å
α = 90.00°, β = 90.00°, γ = 90.00°
Space group I-4m2 (No. 119)
One atom of each set of equivalent atoms:
Cd 0.0000 0.0000 0.0000 (multiplicity 2)
Cd 0.0000 0.5000 0.2500 (multiplicity 2)
Fe 0.0000 0.0000 0.5000 (multiplicity 2)
Br 0.0000 0.5000 0.7500 (multiplicity 2)

=====

two.
Compound: Cd2FeBr
Source: Alexandria via LeMat-Bulk
Functional: PBEsol
Structure: relaxed

a = 5.6678 Å, b = 8.6057 Å, c = 3.1959 Å
α = 90.00°, β = 90.00°, γ = 90.00°
Space group Cmmm (No. 65)
One atom of each set of equivalent atoms:
Cd 0.2500 0.2500 0.0000 (multiplicity 4)
Fe 0.0000 0.0000 0.5000 (multiplicity 2)
Br 0.0000 0.5000 0.5000 (multiplicity 2)

=====

It is two that is most stable; the runner-up trails by 14.9 kJ/mol of atoms.

=====

one.
Compound: Cd2HgBr2
Source: Alexandria via LeMat-Bulk
Functional: PBEsol
Structure: relaxed

a = 8.2773 Å, b = 8.2773 Å, c = 4.1222 Å
α = 90.00°, β = 90.00°, γ = 90.00°
Space group P4/mbm (No. 127)
One atom of each set of equivalent atoms:
Cd 0.1131 0.3869 0.0000 (multiplicity 4)
Hg 0.0000 0.0000 0.0000 (multiplicity 2)
Br 0.2357 0.7357 0.5000 (multiplicity 4)

=====

two.
Compound: Cd2HgBr2
Source: Alexandria via LeMat-Bulk
Functional: PBEsol
Structure: relaxed

a = 5.0245 Å, b = 5.0245 Å, c = 11.0285 Å
α = 90.00°, β = 90.00°, γ = 90.00°
Space group I4/mmm (No. 139)
One atom of each set of equivalent atoms:
Cd 0.0000 0.0000 0.1201 (multiplicity 4)
Hg 0.0000 0.0000 0.5000 (multiplicity 2)
Br 0.0000 0.5000 0.2500 (multiplicity 4)

=====

It is two that is most stable; the runner-up trails by 3.2 kJ/mol of atoms.

=====

one.
Compound: Cd2InBr
Source: Alexandria via LeMat-Bulk
Functional: PBEsol
Structure: relaxed

a = 3.6147 Å, b = 3.6147 Å, c = 7.5334 Å
α = 90.00°, β = 90.00°, γ = 90.00°
Space group P4mm (No. 99)
One atom of each set of equivalent atoms:
Cd 0.0000 0.0000 0.0000 (multiplicity 1)
Cd 0.5000 0.5000 0.2207 (multiplicity 1)
In 0.0000 0.0000 0.4583 (multiplicity 1)
Br 0.5000 0.5000 0.7597 (multiplicity 1)

=====

two.
Compound: Cd2InBr
Source: Alexandria via LeMat-Bulk
Functional: PBEsol
Structure: relaxed

a = 5.4031 Å, b = 5.4031 Å, c = 3.3225 Å
α = 90.00°, β = 90.00°, γ = 90.00°
Space group P4/mmm (No. 123)
One atom of each set of equivalent atoms:
Cd 0.0000 0.5000 0.0000 (multiplicity 2)
In 0.0000 0.0000 0.5000 (multiplicity 1)
Br 0.5000 0.5000 0.5000 (multiplicity 1)

=====

It is one that is most stable; the runner-up trails by 7.1 kJ/mol of atoms.